Record 1
Entry from Alexandria: a relaxed structure of Dy2NiB2Rh5 (PBE-GGA).

Output
- Energy: -7.14 eV/atom
- Theoretical density: 10.73 Mg/m³
- Space group: P4/mbm (127)
- DOS(E_F): 15.71 states/eV per cell
- Crystal system: tetragonal

```
20
Lattice="9.418 0.000 0.000 0.000 9.418 0.000 0.000 0.000 3.208" Properties=species:S:1:pos:R:3 pbc="T T T"
Dy 1.660 3.049 0.000
Dy 3.049 7.758 0.000
Dy 6.369 1.660 0.000
Dy 7.758 6.369 0.000
Ni 0.000 0.000 0.000
Ni 4.709 4.709 0.000
B 1.173 5.882 0.000
B 3.537 1.173 0.000
B 5.882 8.246 0.000
B 8.246 3.537 0.000
Rh 0.000 4.709 1.604
Rh 0.657 7.358 1.604
Rh 2.060 0.657 1.604
Rh 2.649 5.366 1.604
Rh 4.052 2.649 1.604
Rh 4.709 0.000 1.604
Rh 5.366 6.769 1.604
Rh 6.769 4.052 1.604
Rh 7.358 8.761 1.604
Rh 8.761 2.060 1.604
```



Record 2
Entry from Alexandria: a relaxed structure of Dy2Ni12B3Rh (PBE-GGA).

Output
- Energy: -5.91 eV/atom
- Theoretical density: 8.27 Mg/m³
- Space group: R-3m (166)
- DOS(E_F): 14.97 states/eV per cell
- Crystal system: trigonal

```
18
Lattice="3.487 2.013 5.554 -3.487 2.013 5.554 0.000 -4.026 5.554" Properties=species:S:1:pos:R:3 pbc="T T T"
Dy 0.000 0.000 1.565
Dy 0.000 0.000 15.096
Ni -2.058 -1.188 7.468
Ni 0.000 -1.580 6.041
Ni -1.368 0.790 6.041
Ni 0.000 -2.376 9.193
Ni -2.058 1.188 9.193
Ni -1.368 -0.790 10.620
Ni 1.368 0.790 6.041
Ni 2.058 -1.188 7.468
Ni 0.000 2.376 7.468
Ni 1.368 -0.790 10.620
Ni 0.000 1.580 10.620
Ni 2.058 1.188 9.193
B -1.743 -1.007 5.554
B -1.743 1.007 11.107
B 0.000 2.013 5.554
Rh 0.000 0.000 8.331
```



Repeat the second record exactly.
Entry from Alexandria: a relaxed structure of Dy2Ni12B3Rh (PBE-GGA).

Output
- Energy: -5.91 eV/atom
- Theoretical density: 8.27 Mg/m³
- Space group: R-3m (166)
- DOS(E_F): 14.97 states/eV per cell
- Crystal system: trigonal

```
18
Lattice="3.487 2.013 5.554 -3.487 2.013 5.554 0.000 -4.026 5.554" Properties=species:S:1:pos:R:3 pbc="T T T"
Dy 0.000 0.000 1.565
Dy 0.000 0.000 15.096
Ni -2.058 -1.188 7.468
Ni 0.000 -1.580 6.041
Ni -1.368 0.790 6.041
Ni 0.000 -2.376 9.193
Ni -2.058 1.188 9.193
Ni -1.368 -0.790 10.620
Ni 1.368 0.790 6.041
Ni 2.058 -1.188 7.468
Ni 0.000 2.376 7.468
Ni 1.368 -0.790 10.620
Ni 0.000 1.580 10.620
Ni 2.058 1.188 9.193
B -1.743 -1.007 5.554
B -1.743 1.007 11.107
B 0.000 2.013 5.554
Rh 0.000 0.000 8.331
```



Which formula does entry 1 have?
Dy2NiB2Rh5



Which value of DOS(E_F) does entry 2 give?
14.97 states/eV per cell